(1)
Material: Fe2ReP
Method: DFT, PBEsol
State: optimized geometry

Cell lengths 2.6468, 3.6975, 4.8376 Å; angles 90.00, 105.74, 90.00 degrees
Sites, in units of the cell vectors:
1 Fe 0.1362 0.0000 0.2655
2 Fe 0.8638 0.0000 0.7345
3 Re 0.5000 0.5000 0.0000
4 P 0.5000 0.5000 0.5000

Summary:
calculated total energy	-37.604	eV/cell
formation energy	-0.1384	eV/atom

***

(2)
Material: FeRe2P
Method: DFT, PBEsol
State: optimized geometry

Cell lengths 4.2033, 4.2033, 4.2033 Å; angles 60.00, 60.00, 60.00 degrees
Sites, in units of the cell vectors:
1 Fe 0.0000 0.0000 0.0000
2 Re 0.2500 0.2500 0.2500
3 Re 0.5000 0.5000 0.5000
4 P 0.7500 0.7500 0.7500

Summary:
calculated total energy	-40.064	eV/cell
formation energy	0.3388	eV/atom

***

(3)
Material: FeRe2P
Method: DFT, PBEsol
State: optimized geometry

Cell lengths 4.6500, 4.6500, 4.6500 Å; angles 134.07, 134.07, 66.98 degrees
Sites, in units of the cell vectors:
1 Fe 0.0000 0.0000 0.0000
2 Re 0.2500 0.7500 0.5000
3 Re 0.5000 0.5000 0.0000
4 P 0.7500 0.2500 0.5000

Summary:
calculated total energy	-40.702	eV/cell
formation energy	0.1793	eV/atom

***

Question: Look up the formation energy of the third one.
Answer: 0.1793 eV/atom

***

Question: The lowest formation energy belongs to which entry?
Answer: Fe2ReP